[1]
Sr2TmAg3Sn4 | Alexandria | PBE | optimized geometry; E = -36.70 eV per cell; ρ = 6.9 g/cm³; M_tot = 0.00 μB per formula unit; DFT formation energy = -0.43 eV/atom
1.0
4.620 0.000 0.000
0.000 4.620 0.000
0.000 0.000 12.849
Sr Tm Ag Sn
2 1 3 4
direct
0.000 0.500 0.241
0.500 0.000 0.759
0.000 0.000 0.500
0.000 0.500 0.862
0.500 0.000 0.138
0.500 0.500 0.500
0.000 0.000 0.000
0.000 0.500 0.648
0.500 0.000 0.352
0.500 0.500 0.000

[2]
BaGe3P3 | Alexandria | PBE | optimized geometry; E = -66.15 eV per cell; ρ = 4.4 g/cm³; M_tot = 0.00 μB per formula unit; DFT formation energy = -0.15 eV/atom
1.0
9.742 0.000 0.000
-4.871 8.437 0.000
0.000 0.000 4.072
Ba Ge P
2 6 6
direct
0.333 0.667 0.250
0.667 0.333 0.750
0.009 0.799 0.750
0.201 0.210 0.750
0.210 0.009 0.250
0.790 0.991 0.750
0.799 0.790 0.250
0.991 0.201 0.250
0.042 0.562 0.750
0.438 0.480 0.750
0.480 0.042 0.250
0.520 0.958 0.750
0.562 0.520 0.250
0.958 0.438 0.250

[3]
Pu2AgIr | Alexandria | PBE | optimized geometry; E = -39.64 eV per cell; ρ = 16.2 g/cm³; M_tot = 9.70 μB per formula unit; DFT formation energy = 0.18 eV/atom
1.0
1.447 0.836 11.131
-1.447 0.836 11.131
0.000 -1.671 11.131
Pu Ag Ir
2 1 1
direct
0.092 0.092 0.092
0.908 0.908 0.908
0.000 0.000 0.000
0.500 0.500 0.500

[4]
CeNd2Y9 | Alexandria | PBE | optimized geometry; E = -73.17 eV per cell; ρ = 5.2 g/cm³; M_tot = 0.97 μB per formula unit; DFT formation energy = 0.04 eV/atom
1.0
5.081 0.000 0.000
0.000 5.081 0.000
0.000 0.000 15.224
Ce Nd Y
1 2 9
direct
0.000 0.000 0.000
0.000 0.000 0.332
0.000 0.000 0.668
0.000 0.500 0.164
0.000 0.500 0.500
0.000 0.500 0.836
0.500 0.000 0.164
0.500 0.000 0.500
0.500 0.000 0.836
0.500 0.500 0.000
0.500 0.500 0.333
0.500 0.500 0.667

| no. | DOS at the Fermi energy (states/eV/f.u.) |
| --- | --- |
| 1 | 6.0 |
| 2 | 2.6 |
| 3 | 10.7 |
| 4 | 19.5 |